# 1
This record from Alexandria describes crystalline Zr2AlBr at its relaxed geometry. The functional is PBE.

Cell lengths 6.919, 6.919, 6.919 Å; angles 152.63, 144.20, 45.64 degrees
Sites, in units of the cell vectors:
Zr: 0.000 0.000 0.000
Zr: 0.777 0.277 0.500
Al: 0.353 0.853 0.500
Br: 0.594 0.594 0.000

Properties
For the total magnetization, the calculation gives 0.000 μB/f.u. As for the energy above the most stable polymorph in this dataset: 0.49 eV/f.u. The formation energy without anion corrections comes out at -0.241 eV per atom.

***

# 2
This record from Alexandria describes crystalline Ca3BiW at its relaxed geometry. The functional is PBE.

Cell lengths 5.930, 5.930, 5.930 Å; angles 90.00, 90.00, 90.00 degrees
Sites, in units of the cell vectors:
Ca: 0.000 0.000 0.500
Ca: 0.000 0.500 0.000
Ca: 0.500 0.000 0.000
Bi: 0.000 0.000 0.000
W: 0.500 0.500 0.500

Properties
For the total magnetization, the calculation gives 5.636 μB/f.u. The energy of formation from the pure elements comes out at 0.962 eV per atom. As for the energy above the most stable polymorph in this dataset: 0.86 eV/f.u.

***

# 3
This record from Alexandria describes crystalline TlAuSe2 at its relaxed geometry. The functional is PBE.

Cell lengths 10.726, 10.726, 10.726 Å; angles 17.53, 17.53, 17.53 degrees
Sites, in units of the cell vectors:
Tl: 0.000 0.000 0.000
Au: 0.500 0.500 0.500
Se: 0.422 0.422 0.422
Se: 0.578 0.578 0.578

Properties
For the total magnetization, the calculation gives 0.000 μB/f.u. The formation energy without anion corrections comes out at 0.178 eV per atom.